1.
A relaxed RePCl2O crystal, computed with GGA-PBE.

abc: 4.2684 4.2684 4.0333
angles: 90.00 90.00 90.00
Each line ends with the local moment (μB).
Fractional positions:
O 0.0000 0.0000 0.0000  0.00
Cl 0.5000 0.0000 0.0000  0.00
Cl 0.0000 0.5000 0.0000  0.00
Re 0.5000 0.5000 0.5000  0.52
P 0.0000 0.0000 0.5000  -0.03

Output
Formation energy (no corrections), eV/atom: 1.46
Space group: P4/mmm
V, Å³/f.u.: 73.5

2.
A relaxed P2RhClO crystal, computed with GGA-PBE.

abc: 4.8313 4.8313 3.7438
angles: 90.00 90.00 90.00
Fractional positions:
Rh 0.0000 0.0000 0.0000
O 0.0000 0.0000 0.5000
Cl 0.5000 0.5000 0.5000
P 0.5000 0.0000 0.0000
P 0.0000 0.5000 0.0000

Output
Formation energy (no corrections), eV/atom: 0.41
Space group: P4/mmm
V, Å³/f.u.: 87.4

3.
A relaxed PRhCl2O crystal, computed with GGA-PBE.

abc: 4.4589 4.4589 4.0379
angles: 90.00 90.00 90.00
Each line ends with the local moment (μB).
Fractional positions:
Rh 0.5000 0.5000 0.5000  0.79
Cl 0.0000 0.5000 0.0000  0.05
O 0.0000 0.0000 0.0000  -0.01
Cl 0.5000 0.0000 0.0000  0.05
P 0.0000 0.0000 0.5000  -0.05

Output
Formation energy (no corrections), eV/atom: 0.92
Space group: P4/mmm
V, Å³/f.u.: 80.3

4.
A relaxed PRhClO4 crystal, computed with GGA-PBE.

abc: 5.2152 5.2152 8.6388
angles: 65.80 65.80 74.66
Fractional positions:
O 0.1443 0.5174 0.2286
O 0.8127 0.8127 0.4674
O 0.4610 0.4610 0.6678
O 0.5390 0.5390 0.3322
P 0.6453 0.6453 0.6671
P 0.3547 0.3547 0.3329
O 0.8557 0.4826 0.7714
O 0.5174 0.1443 0.2286
Cl 0.8523 0.8523 0.9436
O 0.1873 0.1873 0.5326
Cl 0.1477 0.1477 0.0564
O 0.4826 0.8557 0.7714
Rh 0.8224 0.8224 0.2293
Rh 0.1776 0.1776 0.7707

Output
Formation energy (no corrections), eV/atom: -1.25
Space group: C2/m
V, Å³/f.u.: 97.1

5.
A relaxed P2RhClO crystal, computed with GGA-PBE.

abc: 3.8221 3.8221 5.2552
angles: 90.00 90.00 90.00
Fractional positions:
P 0.0000 0.5000 0.0000
Cl 0.0000 0.0000 0.5000
O 0.0000 0.0000 0.0000
P 0.5000 0.0000 0.0000
Rh 0.5000 0.5000 0.5000

Output
Formation energy (no corrections), eV/atom: 0.57
Space group: P4/mmm
V, Å³/f.u.: 76.8

6.
A relaxed P2RhClO crystal, computed with GGA-PBE.

abc: 4.5439 4.5439 4.7296
angles: 90.00 90.00 90.00
Fractional positions:
P 0.0000 0.5000 0.0000
Cl 0.0000 0.0000 0.5000
O 0.5000 0.5000 0.5000
Rh 0.0000 0.0000 0.0000
P 0.5000 0.0000 0.0000

Output
Formation energy (no corrections), eV/atom: 0.90
Space group: P4/mmm
V, Å³/f.u.: 97.7

7.
A relaxed PRhCl2O crystal, computed with GGA-PBE.

abc: 4.8939 4.8939 4.4547
angles: 90.00 90.00 90.00
Each line ends with the local moment (μB).
Fractional positions:
Cl 0.0000 0.5000 0.0000  0.06
Cl 0.5000 0.0000 0.0000  0.06
P 0.0000 0.0000 0.5000  -0.16
Rh 0.0000 0.0000 0.0000  0.04
O 0.5000 0.5000 0.5000  1.36

Output
Formation energy (no corrections), eV/atom: 0.63
Space group: P4/mmm
V, Å³/f.u.: 106.7

8.
A relaxed P2SClO crystal, computed with GGA-PBE.

abc: 4.8416 4.8416 3.4670
angles: 90.00 90.00 90.00
Fractional positions:
P 0.0000 0.5000 0.0000
P 0.5000 0.0000 0.0000
O 0.0000 0.0000 0.5000
S 0.0000 0.0000 0.0000
Cl 0.5000 0.5000 0.5000

Output
Formation energy (no corrections), eV/atom: 0.72
Space group: P4/mmm
V, Å³/f.u.: 81.3

Number 1: final energy -19.22 eV/f.u., DOS(E_F) 4.16 states/eV/f.u.. Number 2: final energy -22.94 eV/f.u., DOS(E_F) 4.46 states/eV/f.u.. Number 3: final energy -16.81 eV/f.u., DOS(E_F) 3.90 states/eV/f.u.. Number 4: final energy -43.22 eV/f.u., DOS(E_F) 5.33 states/eV/f.u.. Number 5: final energy -22.13 eV/f.u., DOS(E_F) 2.11 states/eV/f.u.. Number 6: final energy -20.48 eV/f.u., DOS(E_F) 5.84 states/eV/f.u.. Number 7: final energy -18.27 eV/f.u., DOS(E_F) 5.78 states/eV/f.u.. Number 8: final energy -18.18 eV/f.u., DOS(E_F) 3.16 states/eV/f.u..